A plane-wave DFT calculation with PBE was carried out for TbEuPb after structural relaxation.

Values from the calculation:
DOS at the Fermi energy: 2.8 states/eV per cell
space-group type: P3m1
ΔH_f (0 K): -0.267 eV/atom

Unit cell a=3.810 b=5.433 c=5.433 alpha=120.00 beta=90.00 gamma=90.00
Site moments in Bohr magnetons follow the coordinates.
Atoms (fractional coordinates):
Eu (0.689, 0.333, 0.667)  -6.95
Pb (0.088, 0.000, 0.000)  0.04
Tb (0.223, 0.667, 0.333)  -0.30

A plane-wave DFT calculation with PBE was carried out for SrSn2Hg after structural relaxation.

Values from the calculation:
DOS at the Fermi energy: 3.4 states/eV per cell
space-group type: Cmcm
ΔH_f (0 K): -0.346 eV/atom

Unit cell a=4.880 b=6.567 c=8.015 alpha=90.00 beta=89.99 gamma=111.81
Atoms (fractional coordinates):
Sr (0.923, 0.847, 0.250)
Sr (0.077, 0.153, 0.750)
Sn (0.384, 0.768, 0.561)
Sn (0.616, 0.232, 0.439)
Sn (0.616, 0.232, 0.061)
Sn (0.384, 0.768, 0.939)
Hg (0.777, 0.553, 0.750)
Hg (0.223, 0.447, 0.250)

A plane-wave DFT calculation with PBE was carried out for AlIn3Br after structural relaxation.

Values from the calculation:
DOS at the Fermi energy: 2.9 states/eV per cell
energy relative to the elements, uncorrected: 0.05 eV per atom
space-group type: Pm-3m
offset from the most stable computed form: 0.0000 eV per atom

Unit cell a=5.460 b=5.460 c=5.460 alpha=90.00 beta=90.00 gamma=90.00
Atoms (fractional coordinates):
In (0.000, 0.500, 0.000)
In (0.000, 0.000, 0.500)
In (0.500, 0.000, 0.000)
Br (0.500, 0.500, 0.500)
Al (0.000, 0.000, 0.000)

A plane-wave DFT calculation with PBE was carried out for PmEuYSn after structural relaxation.

Values from the calculation:
DOS at the Fermi energy: 5.7 states/eV per cell
space-group type: F-43m
ΔH_f (0 K): -0.269 eV/atom

Unit cell a=5.520 b=5.520 c=5.520 alpha=60.00 beta=60.00 gamma=60.00
Site moments in Bohr magnetons follow the coordinates.
Atoms (fractional coordinates):
Pm (0.000, 0.000, 0.000)  0.18
Eu (0.250, 0.250, 0.250)  6.98
Sn (0.750, 0.750, 0.750)  -0.04
Y (0.500, 0.500, 0.500)  0.19